Entry 1:
Below is a relaxed structure of SiWAu2, with properties calculated at the PBE-GGA level.

```
SiWAu2
1.0
-3.8548 7.5083 3.7372
-4.7573 5.5251 5.6605
-2.1293 6.7333 5.9438
Au Si W
2 1 1
Cartesian
-10.7092 19.7074 15.2956
-5.4029 9.9427 7.7168
-2.6854 4.9417 3.8354
-8.0561 14.8250 11.5062
```

Results
V   16.6 Å³ per atom
Space-group type   R-3m
DOS(E_F)   0.63 states/eV per atom
DFT total energy   -5.88 eV per atom
Raw formation energy   33.6 kJ/mol of atoms

=====

Entry 2:
Below is a relaxed structure of SiWAu2, with properties calculated at the PBE-GGA level.

```
SiWAu2
1.0
-2.1614 -1.6296 -0.8860
1.5978 -3.5197 2.5759
-2.7784 1.5767 3.8778
Au Si W
2 1 1
Cartesian
0.0000 0.0000 0.0000
-0.2818 -2.5747 0.8450
-2.4699 -0.0265 1.4959
-0.5903 -0.9715 3.2269
```

Results
V   16.6 Å³ per atom
Space-group type   Pmmm
DOS(E_F)   0.54 states/eV per atom
DFT total energy   -5.88 eV per atom
Raw formation energy   33.9 kJ/mol of atoms

=====

Entry 3:
Below is a relaxed structure of Si2WAu, with properties calculated at the PBE-GGA level.

```
Si2WAu
1.0
3.8753 0.0000 0.0000
0.0000 2.8439 -0.0042
0.0000 0.0120 5.6664
Au Si W
1 2 1
Cartesian
1.9376 2.1419 4.2466
0.0000 2.1355 0.2076
0.0000 2.1363 2.6192
1.9376 0.7140 1.4155
```

Results
V   15.6 Å³ per atom
Space-group type   Pmmm
DOS(E_F)   0.49 states/eV per atom
ΔE to the lowest computed polymorph   0.1376 eV/atom
DFT total energy   -6.54 eV per atom
Raw formation energy   21.8 kJ/mol of atoms

=====

Entry 4:
Below is a relaxed structure of SiW2Au, with properties calculated at the PBE-GGA level.

```
SiW2Au
1.0
-2.7988 -0.2321 2.9959
-1.4828 -1.8414 -1.5279
1.7711 -5.3587 1.2394
Au Si W
1 1 2
Cartesian
-1.3273 -1.9161 1.4258
-1.1832 -5.5161 1.2816
0.3154 -6.9644 -0.2449
0.1169 -3.8357 -0.1879
```

Results
V   15.8 Å³ per atom
Space-group type   P2/m
DOS(E_F)   0.56 states/eV per atom
DFT total energy   -8.38 eV per atom
Raw formation energy   26.4 kJ/mol of atoms

=====

Entry 5:
Below is a relaxed structure of Si2WAu, with properties calculated at the PBE-GGA level.

```
Si2WAu
1.0
4.8014 -0.2613 0.2920
3.8988 2.8144 0.2920
0.8773 0.2575 4.2439
Au Si W
1 2 1
Cartesian
2.3846 0.6998 0.9621
0.1149 0.0337 0.2019
7.1460 2.0970 3.3253
4.7208 1.3853 2.7525
```

Results
V   15.2 Å³ per atom
Space-group type   Cm
DOS(E_F)   0.74 states/eV per atom
ΔE to the lowest computed polymorph   0.0268 eV/atom
DFT total energy   -6.65 eV per atom
Raw formation energy   11.1 kJ/mol of atoms

=====

Entry 6:
Below is a relaxed structure of SiW2Au, with properties calculated at the PBE-GGA level.

```
SiW2Au
1.0
7.1294 0.0000 0.0000
0.0000 7.1294 0.0000
3.5647 3.5647 2.6599
Si Au W
2 2 4
Cartesian
3.5647 3.5647 0.0000
3.5647 7.1294 1.3299
0.0000 0.0000 0.0000
7.1294 3.5647 1.3299
5.1072 1.7824 0.6650
2.0222 5.3471 0.6650
5.3471 5.5869 1.9949
8.9118 8.6719 1.9949
```

Results
V   16.9 Å³ per atom
Space-group type   I-42d
DOS(E_F)   0.77 states/eV per atom
DFT total energy   -8.01 eV per atom
Raw formation energy   62.2 kJ/mol of atoms